No. 1
A plane-wave DFT calculation with PBE-GGA was carried out for PrAl3Ni2 after structural relaxation.

Computed properties:
ΔE to the lowest computed polymorph   0.0138 eV/atom

Geometry as CIF:
```
data_PrAl3Ni2
_chemical_formula_sum 'Pr7 Al21 Ni14'
_symmetry_space_group_name_H-M 'P 6/m'
_symmetry_Int_Tables_number 175
_symmetry_space_group_name_Hall '-P 6'
_cell_length_a 14.1033
_cell_length_b 14.1033
_cell_length_c 4.0578
_cell_angle_alpha 90.00
_cell_angle_beta 90.00
_cell_angle_gamma 120.00
loop_
_atom_site_label
_atom_site_type_symbol
_atom_site_fract_x
_atom_site_fract_y
_atom_site_fract_z
_atom_site_occupancy
Pr1 Pr 0.0000 0.0000 0.0000 1
Pr2 Pr 0.1437 0.7126 0.5000 1
Al1 Al 0.0000 0.5000 0.0000 1
Al2 Al 0.0424 0.2119 0.5000 1
Al3 Al 0.0701 0.3504 0.0000 1
Al4 Al 0.2130 0.5704 0.0000 1
Ni1 Ni 0.0769 0.8460 0.0000 1
Ni2 Ni 0.0951 0.4752 0.5000 1
Ni3 Ni 0.3333 0.6667 0.5000 1
```

No. 2
A plane-wave DFT calculation with PBE-GGA was carried out for SrZnCoS3 after structural relaxation.

Computed properties:
ΔE to the lowest computed polymorph   0.0288 eV/atom

Geometry as CIF:
```
data_SrZnCoS3
_chemical_formula_sum 'Sr4 Zn4 Co4 S12'
_symmetry_space_group_name_H-M 'C m c m'
_symmetry_Int_Tables_number 63
_symmetry_space_group_name_Hall '-C 2c 2'
_cell_length_a 3.8153
_cell_length_b 12.9360
_cell_length_c 9.0960
_cell_angle_alpha 90.00
_cell_angle_beta 90.00
_cell_angle_gamma 90.00
loop_
_atom_site_label
_atom_site_type_symbol
_atom_site_fract_x
_atom_site_fract_y
_atom_site_fract_z
_atom_site_occupancy
Sr1 Sr 0.0000 0.2425 0.2500 1
Zn1 Zn 0.0000 0.4743 0.7500 1
Co1 Co 0.0000 0.0000 0.0000 1
S1 S 0.0000 0.0735 0.7500 1
S2 S 0.0000 0.3758 0.5399 1
```

No. 3
A plane-wave DFT calculation with PBE-GGA was carried out for Ga2Au3 after structural relaxation.

Geometry as CIF:
```
data_Ga2Au3
_chemical_formula_sum 'Ga4 Au6'
_symmetry_space_group_name_H-M 'P 4/m b m'
_symmetry_Int_Tables_number 127
_symmetry_space_group_name_Hall '-P 4 2ab'
_cell_length_a 7.0761
_cell_length_b 7.0761
_cell_length_c 3.6852
_cell_angle_alpha 90.00
_cell_angle_beta 90.00
_cell_angle_gamma 90.00
loop_
_atom_site_label
_atom_site_type_symbol
_atom_site_fract_x
_atom_site_fract_y
_atom_site_fract_z
_atom_site_occupancy
Ga1 Ga 0.1560 0.3440 0.0000 1
Au1 Au 0.0000 0.0000 0.0000 1
Au2 Au 0.1436 0.6436 0.5000 1
```

No. 4
A plane-wave DFT calculation with PBE-GGA was carried out for SrNpSb after structural relaxation.

Geometry as CIF:
```
data_SrNpSb
_chemical_formula_sum 'Sr4 Np4 Sb4'
_symmetry_space_group_name_H-M 'F -4 3 m'
_symmetry_Int_Tables_number 216
_symmetry_space_group_name_Hall 'F -4 2 3'
_cell_length_a 7.5322
_cell_length_b 7.5322
_cell_length_c 7.5322
_cell_angle_alpha 90.00
_cell_angle_beta 90.00
_cell_angle_gamma 90.00
loop_
_atom_site_label
_atom_site_type_symbol
_atom_site_fract_x
_atom_site_fract_y
_atom_site_fract_z
_atom_site_occupancy
Sr1 Sr 0.0000 0.0000 0.0000 1
Np1 Np 0.2500 0.2500 0.7500 1
Sb1 Sb 0.0000 0.0000 0.5000 1
```

No. 5
A plane-wave DFT calculation with PBE-GGA was carried out for Tl2AgAu after structural relaxation.

Geometry as CIF:
```
data_Tl2AgAu
_chemical_formula_sum 'Tl8 Ag4 Au4'
_symmetry_space_group_name_H-M 'F -4 3 m'
_symmetry_Int_Tables_number 216
_symmetry_space_group_name_Hall 'F -4 2 3'
_cell_length_a 7.2314
_cell_length_b 7.2314
_cell_length_c 7.2314
_cell_angle_alpha 90.00
_cell_angle_beta 90.00
_cell_angle_gamma 90.00
loop_
_atom_site_label
_atom_site_type_symbol
_atom_site_fract_x
_atom_site_fract_y
_atom_site_fract_z
_atom_site_occupancy
Tl1 Tl 0.0000 0.0000 0.0000 1
Tl2 Tl 0.2500 0.2500 0.2500 1
Ag1 Ag 0.2500 0.2500 0.7500 1
Au1 Au 0.0000 0.0000 0.5000 1
```

No. 6
A plane-wave DFT calculation with PBE-GGA was carried out for Y4Zr2Zn3N3 after structural relaxation.

Geometry as CIF:
```
data_Y4Zr2Zn3N3
_chemical_formula_sum 'Y16 Zr8 Zn12 N12'
_symmetry_space_group_name_H-M 'C 1 2/c 1'
_symmetry_Int_Tables_number 15
_cell_length_a 10.3145
_cell_length_b 5.9524
_cell_length_c 14.8176
_cell_angle_alpha 90.00
_cell_angle_beta 103.76
_cell_angle_gamma 90.00
loop_
_symmetry_equiv_pos_as_xyz
'x,y,z'
'-x,-y,-z'
'-x,y,-z+1/2'
'x,-y,z+1/2'
'x+1/2,y+1/2,z'
'-x+1/2,-y+1/2,-z'
'-x+1/2,y+1/2,-z+1/2'
'x+1/2,-y+1/2,z+1/2'
loop_
_atom_site_label
_atom_site_type_symbol
_atom_site_fract_x
_atom_site_fract_y
_atom_site_fract_z
_atom_site_occupancy
Y1 Y 0.1174 0.0762 0.1008 1
Y2 Y 0.2120 0.0883 0.3991 1
Zr1 Zr 0.0621 0.4123 0.9246 1
Zn1 Zn 0.0000 0.1592 0.7500 1
Zn2 Zn 0.1273 0.4576 0.2492 1
N1 N 0.0802 0.2592 0.5000 1
N2 N 0.2500 0.2500 0.0000 1
```

No. 7
A plane-wave DFT calculation with PBE-GGA was carried out for TaInFePd after structural relaxation.

Computed properties:
ΔE to the lowest computed polymorph   0.0000 eV/atom

Geometry as CIF:
```
data_TaInFePd
_chemical_formula_sum 'Ta4 In4 Fe4 Pd4'
_symmetry_space_group_name_H-M 'F -4 3 m'
_symmetry_Int_Tables_number 216
_symmetry_space_group_name_Hall 'F -4 2 3'
_cell_length_a 6.3702
_cell_length_b 6.3702
_cell_length_c 6.3702
_cell_angle_alpha 90.00
_cell_angle_beta 90.00
_cell_angle_gamma 90.00
loop_
_atom_site_label
_atom_site_type_symbol
_atom_site_fract_x
_atom_site_fract_y
_atom_site_fract_z
_atom_site_occupancy
Ta1 Ta 0.0000 0.0000 0.0000 1
In1 In 0.0000 0.0000 0.5000 1
Fe1 Fe 0.2500 0.2500 0.7500 1
Pd1 Pd 0.2500 0.2500 0.2500 1
```

No. 8
A plane-wave DFT calculation with PBE-GGA was carried out for NbHgNO after structural relaxation.

Computed properties:
ΔE to the lowest computed polymorph   0.0539 eV/atom

Geometry as CIF:
```
data_NbHgNO
_chemical_formula_sum 'Nb2 Hg2 N2 O2'
_symmetry_space_group_name_H-M 'P m c 21'
_symmetry_Int_Tables_number 26
_cell_length_a 3.2315
_cell_length_b 6.3522
_cell_length_c 7.1460
_cell_angle_alpha 90.00
_cell_angle_beta 90.00
_cell_angle_gamma 90.00
loop_
_symmetry_equiv_pos_as_xyz
'x,y,z'
'-x,-y,z+1/2'
'-x,y,z'
'x,-y,z+1/2'
loop_
_atom_site_label
_atom_site_type_symbol
_atom_site_fract_x
_atom_site_fract_y
_atom_site_fract_z
_atom_site_occupancy
Nb1 Nb 0.0000 0.1135 0.0000 1
Hg1 Hg 0.5000 0.3241 0.4739 1
N1 N 0.5000 0.2827 0.0133 1
O1 O 0.0000 0.0270 0.7405 1
```

No. 9
A plane-wave DFT calculation with PBE-GGA was carried out for Cs2GdTmS4 after structural relaxation.

Geometry as CIF:
```
data_Cs2GdTmS4
_chemical_formula_sum 'Cs2 Gd1 Tm1 S4'
_symmetry_space_group_name_H-M 'P -3 m 1'
_symmetry_Int_Tables_number 164
_symmetry_space_group_name_Hall '-P 3 2"'
_cell_length_a 4.0880
_cell_length_b 4.0880
_cell_length_c 16.0774
_cell_angle_alpha 90.00
_cell_angle_beta 90.00
_cell_angle_gamma 120.00
loop_
_atom_site_label
_atom_site_type_symbol
_atom_site_fract_x
_atom_site_fract_y
_atom_site_fract_z
_atom_site_occupancy
Cs1 Cs 0.3333 0.6667 0.2517 1
Gd1 Gd 0.0000 0.0000 0.0000 1
Tm1 Tm 0.0000 0.0000 0.5000 1
S1 S 0.3333 0.6667 0.5890 1
S2 S 0.3333 0.6667 0.9069 1
```

No. 10
A plane-wave DFT calculation with PBE-GGA was carried out for ErB4Pb after structural relaxation.

Computed properties:
ΔE to the lowest computed polymorph   0.0000 eV/atom

Geometry as CIF:
```
data_ErB4Pb
_chemical_formula_sum 'Er1 B4 Pb1'
_symmetry_space_group_name_H-M 'P 6/m m m'
_symmetry_Int_Tables_number 191
_symmetry_space_group_name_Hall '-P 6 2'
_cell_length_a 3.2402
_cell_length_b 3.2402
_cell_length_c 8.4206
_cell_angle_alpha 90.00
_cell_angle_beta 90.00
_cell_angle_gamma 120.00
loop_
_atom_site_label
_atom_site_type_symbol
_atom_site_fract_x
_atom_site_fract_y
_atom_site_fract_z
_atom_site_occupancy
Er1 Er 0.0000 0.0000 0.0000 1
B1 B 0.3333 0.6667 0.2201 1
Pb1 Pb 0.0000 0.0000 0.5000 1
```

No. 11
A plane-wave DFT calculation with PBE-GGA was carried out for YAg2Sb after structural relaxation.

Geometry as CIF:
```
data_YAg2Sb
_chemical_formula_sum 'Y4 Ag8 Sb4'
_symmetry_space_group_name_H-M 'F -4 3 m'
_symmetry_Int_Tables_number 216
_symmetry_space_group_name_Hall 'F -4 2 3'
_cell_length_a 7.0899
_cell_length_b 7.0899
_cell_length_c 7.0899
_cell_angle_alpha 90.00
_cell_angle_beta 90.00
_cell_angle_gamma 90.00
loop_
_atom_site_label
_atom_site_type_symbol
_atom_site_fract_x
_atom_site_fract_y
_atom_site_fract_z
_atom_site_occupancy
Y1 Y 0.0000 0.0000 0.0000 1
Ag1 Ag 0.0000 0.0000 0.5000 1
Ag2 Ag 0.2500 0.2500 0.2500 1
Sb1 Sb 0.2500 0.2500 0.7500 1
```

No. 12
A plane-wave DFT calculation with PBE-GGA was carried out for Y2Ho2BI5 after structural relaxation.

Geometry as CIF:
```
data_Y2Ho2BI5
_chemical_formula_sum 'Y4 Ho4 B2 I10'
_symmetry_space_group_name_H-M 'C 1 2/m 1'
_symmetry_Int_Tables_number 12
_cell_length_a 19.0482
_cell_length_b 4.0455
_cell_length_c 8.6528
_cell_angle_alpha 90.00
_cell_angle_beta 102.64
_cell_angle_gamma 90.00
loop_
_symmetry_equiv_pos_as_xyz
'x,y,z'
'-x,-y,-z'
'-x,y,-z'
'x,-y,z'
'x+1/2,y+1/2,z'
'-x+1/2,-y+1/2,-z'
'-x+1/2,y+1/2,-z'
'x+1/2,-y+1/2,z'
loop_
_atom_site_label
_atom_site_type_symbol
_atom_site_fract_x
_atom_site_fract_y
_atom_site_fract_z
_atom_site_occupancy
Y1 Y 0.1350 0.0000 0.0681 1
Ho1 Ho 0.0006 0.5000 0.8064 1
B1 B 0.0000 0.0000 0.0000 1
I1 I 0.0000 0.0000 0.5000 1
I2 I 0.1643 0.5000 0.3420 1
I3 I 0.1702 0.5000 0.8229 1
```

No. 13
A plane-wave DFT calculation with PBE-GGA was carried out for YTlFeTe3 after structural relaxation.

Computed properties:
ΔE to the lowest computed polymorph   0.0803 eV/atom

Geometry as CIF:
```
data_YTlFeTe3
_chemical_formula_sum 'Y4 Tl4 Fe4 Te12'
_symmetry_space_group_name_H-M 'P n m a'
_symmetry_Int_Tables_number 62
_cell_length_a 12.3072
_cell_length_b 4.4883
_cell_length_c 13.1419
_cell_angle_alpha 90.00
_cell_angle_beta 90.00
_cell_angle_gamma 90.00
loop_
_symmetry_equiv_pos_as_xyz
'x,y,z'
'-x,-y,-z'
'-x+1/2,-y,z+1/2'
'x+1/2,y,-z+1/2'
'x+1/2,-y+1/2,-z+1/2'
'-x+1/2,y+1/2,z+1/2'
'-x,y+1/2,-z'
'x,-y+1/2,z'
loop_
_atom_site_label
_atom_site_type_symbol
_atom_site_fract_x
_atom_site_fract_y
_atom_site_fract_z
_atom_site_occupancy
Y1 Y 0.0205 0.2500 0.1849 1
Tl1 Tl 0.1853 0.2500 0.4927 1
Fe1 Fe 0.2453 0.7500 0.2995 1
Te1 Te 0.0389 0.7500 0.3475 1
Te2 Te 0.0999 0.2500 0.9385 1
Te3 Te 0.2226 0.7500 0.6967 1
```

No. 14
A plane-wave DFT calculation with PBE-GGA was carried out for PrDyZr after structural relaxation.

Computed properties:
ΔE to the lowest computed polymorph   0.0000 eV/atom
E_form   0.7747 eV per atom

Geometry as CIF:
```
data_PrDyZr
_chemical_formula_sum 'Pr4 Dy4 Zr4'
_symmetry_space_group_name_H-M 'F -4 3 m'
_symmetry_Int_Tables_number 216
_symmetry_space_group_name_Hall 'F -4 2 3'
_cell_length_a 7.4526
_cell_length_b 7.4526
_cell_length_c 7.4526
_cell_angle_alpha 90.00
_cell_angle_beta 90.00
_cell_angle_gamma 90.00
loop_
_atom_site_label
_atom_site_type_symbol
_atom_site_fract_x
_atom_site_fract_y
_atom_site_fract_z
_atom_site_occupancy
Pr1 Pr 0.0000 0.0000 0.0000 1
Dy1 Dy 0.0000 0.0000 0.5000 1
Zr1 Zr 0.2500 0.2500 0.7500 1
```

No. 15
A plane-wave DFT calculation with PBE-GGA was carried out for GaCo2S4 after structural relaxation.

Geometry as CIF:
```
data_GaCo2S4
_chemical_formula_sum 'Ga4 Co8 S16'
_symmetry_space_group_name_H-M 'P 41 2 2'
_symmetry_Int_Tables_number 91
_cell_length_a 6.8700
_cell_length_b 6.8700
_cell_length_c 9.6064
_cell_angle_alpha 90.00
_cell_angle_beta 90.00
_cell_angle_gamma 90.00
loop_
_symmetry_equiv_pos_as_xyz
'x,y,z'
'-y,x,z+1/4'
'-x,-y,z+1/2'
'y,-x,z+3/4'
'x,-y,-z+1/2'
'-y,-x,-z+1/4'
'-x,y,-z'
'y,x,-z+3/4'
loop_
_atom_site_label
_atom_site_type_symbol
_atom_site_fract_x
_atom_site_fract_y
_atom_site_fract_z
_atom_site_occupancy
Ga1 Ga 0.0000 0.2528 0.0000 1
Co1 Co 0.2544 0.2544 0.3750 1
Co2 Co 0.2570 0.5000 0.7500 1
S1 S 0.0191 0.2675 0.7466 1
S2 S 0.2675 0.4886 0.9864 1
```

No. 16
A plane-wave DFT calculation with PBE-GGA was carried out for Sr2ReO4 after structural relaxation.

Computed properties:
ΔE to the lowest computed polymorph   0.0000 eV/atom

Geometry as CIF:
```
data_Sr2ReO4
_chemical_formula_sum 'Sr8 Re4 O16'
_symmetry_space_group_name_H-M 'C m c e'
_symmetry_Int_Tables_number 64
_symmetry_space_group_name_Hall '-C 2ac 2'
_cell_length_a 5.4965
_cell_length_b 12.8895
_cell_length_c 5.4986
_cell_angle_alpha 90.00
_cell_angle_beta 90.00
_cell_angle_gamma 90.00
loop_
_atom_site_label
_atom_site_type_symbol
_atom_site_fract_x
_atom_site_fract_y
_atom_site_fract_z
_atom_site_occupancy
Sr1 Sr 0.0000 0.1498 0.0018 1
Re1 Re 0.0000 0.0000 0.5000 1
O1 O 0.0000 0.1638 0.4939 1
O2 O 0.2500 0.0017 0.7500 1
```

No. 17
A plane-wave DFT calculation with PBE-GGA was carried out for ErS4 after structural relaxation.

Geometry as CIF:
```
data_ErS4
_chemical_formula_sum 'Er4 S16'
_symmetry_space_group_name_H-M 'C 1 2/m 1'
_symmetry_Int_Tables_number 12
_cell_length_a 7.0315
_cell_length_b 8.2232
_cell_length_c 8.6220
_cell_angle_alpha 90.00
_cell_angle_beta 108.97
_cell_angle_gamma 90.00
loop_
_symmetry_equiv_pos_as_xyz
'x,y,z'
'-x,-y,-z'
'-x,y,-z'
'x,-y,z'
'x+1/2,y+1/2,z'
'-x+1/2,-y+1/2,-z'
'-x+1/2,y+1/2,-z'
'x+1/2,-y+1/2,z'
loop_
_atom_site_label
_atom_site_type_symbol
_atom_site_fract_x
_atom_site_fract_y
_atom_site_fract_z
_atom_site_occupancy
Er1 Er 0.0000 0.2437 0.0000 1
S1 S 0.1437 0.2151 0.7225 1
S2 S 0.1663 0.0000 0.6096 1
S3 S 0.2126 0.5000 0.9199 1
```

No. 18
A plane-wave DFT calculation with PBE-GGA was carried out for Pd15Pb after structural relaxation.

Computed properties:
ΔE to the lowest computed polymorph   0.0427 eV/atom

Geometry as CIF:
```
data_Pd15Pb
_chemical_formula_sum 'Pd30 Pb2'
_symmetry_space_group_name_H-M 'P 1 21/m 1'
_symmetry_Int_Tables_number 11
_cell_length_a 5.5305
_cell_length_b 2.8119
_cell_length_c 44.0065
_cell_angle_alpha 90.00
_cell_angle_beta 90.00
_cell_angle_gamma 90.00
loop_
_symmetry_equiv_pos_as_xyz
'x,y,z'
'-x,-y,-z'
'-x,y+1/2,-z'
'x,-y+1/2,z'
loop_
_atom_site_label
_atom_site_type_symbol
_atom_site_fract_x
_atom_site_fract_y
_atom_site_fract_z
_atom_site_occupancy
Pd1 Pd 0.1239 0.2500 0.2123 1
Pd2 Pd 0.1245 0.2500 0.3019 1
Pd3 Pd 0.1248 0.2500 0.3902 1
Pd4 Pd 0.1250 0.2500 0.4781 1
Pd5 Pd 0.1250 0.2500 0.5658 1
Pd6 Pd 0.1250 0.2500 0.6540 1
Pd7 Pd 0.1250 0.2500 0.7429 1
Pd8 Pd 0.3745 0.7500 0.6981 1
Pd9 Pd 0.3739 0.7500 0.7877 1
Pd10 Pd 0.3750 0.7500 0.1672 1
Pd11 Pd 0.3750 0.7500 0.2575 1
Pd12 Pd 0.3750 0.7500 0.3461 1
Pd13 Pd 0.3750 0.7500 0.4342 1
Pd14 Pd 0.3750 0.7500 0.5219 1
Pd15 Pd 0.3748 0.7500 0.6098 1
Pb1 Pb 0.1250 0.2500 0.8389 1
```

No. 19
A plane-wave DFT calculation with PBE-GGA was carried out for Ta after structural relaxation.

Computed properties:
ΔE to the lowest computed polymorph   0.1087 eV/atom
E_form   0.1087 eV per atom

Geometry as CIF:
```
data_Ta
_chemical_formula_sum 'Ta39'
_symmetry_space_group_name_H-M 'R -3 m'
_symmetry_Int_Tables_number 166
_symmetry_space_group_name_Hall '-R 3 2"'
_cell_length_a 5.4245
_cell_length_b 5.4245
_cell_length_c 28.7550
_cell_angle_alpha 90.00
_cell_angle_beta 90.00
_cell_angle_gamma 120.00
loop_
_atom_site_label
_atom_site_type_symbol
_atom_site_fract_x
_atom_site_fract_y
_atom_site_fract_z
_atom_site_occupancy
Ta1 Ta 0.0000 0.0000 0.0000 1
Ta2 Ta 0.0000 0.0000 0.1674 1
Ta3 Ta 0.0000 0.0000 0.3520 1
Ta4 Ta 0.0000 0.0000 0.4553 1
Ta5 Ta 0.0032 0.5016 0.4105 1
```

no.,final energy (Ry/atom)
1,-0.3773
2,-0.3346
3,-0.2380
4,-0.4259
5,-0.1906
6,-0.5073
7,-0.5222
8,-0.5028
9,-0.3857
10,-0.4266
11,-0.3230
12,-0.3481
13,-0.3674
14,-0.3822
15,-0.3839
16,-0.5380
17,-0.3713
18,-0.3720
19,-0.8631